# SrLa2Mg GGA-PBEsol optimized geometry
# Calculated volume: 145 Å³ per cell
# DOS(E_F): 4.48 states/eV/f.u.
# Raw total energy: -0.2578 Ry/atom
data_SrLa2Mg
_cell_length_a 3.9909
_cell_length_b 3.9909
_cell_length_c 9.1164
_cell_angle_alpha 90.00
_cell_angle_beta 90.00
_cell_angle_gamma 90.00
_space_group_name_H-M_alt 'P 4/m m m'
_space_group_IT_number 123
_space_group_name_Hall '-P 4 2'
loop_
_atom_site_label
_atom_site_type_symbol
_atom_site_fract_x
_atom_site_fract_y
_atom_site_fract_z
Sr1 Sr 0.0000 0.0000 0.0000
La1 La 0.5000 0.5000 0.3034
Mg1 Mg 0.0000 0.0000 0.5000